Entry 1:
Material: LaPm2Sm5Tm
Method: DFT, PBE-GGA
State: relaxed

The space group is I4/mcm (No. 140) and the conventional cell measures 8.888, 8.888 and 15.687 Å, with angles of 90.00, 90.00 and 90.00 degrees. The asymmetric unit holds La at (0.000, 0.000, 0.250), Pm at (0.117, 0.383, 0.000), Sm at (0.000, 0.000, 0.000), Sm at (0.208, 0.292, 0.363) and Tm at (0.000, 0.500, 0.250).

As for the crystal system: tetragonal. The value obtained for the theoretical density is 7.23 g cm⁻³.

Entry 2:
Material: AcYAl4
Method: DFT, PBE-GGA
State: relaxed

The space group is I-4m2 (No. 119) and the conventional cell measures 4.420, 4.420 and 15.499 Å, with angles of 90.00, 90.00 and 90.00 degrees. The asymmetric unit holds Ac at (0.000, 0.000, 0.000), Y at (0.000, 0.500, 0.750), Al at (0.000, 0.000, 0.414) and Al at (0.000, 0.500, 0.169).

As for the crystal system: tetragonal. The energy above the lowest structure with this stoichiometry is 1.91 kJ/mol of atoms. The value obtained for the theoretical density is 4.65 g cm⁻³.

Entry 3:
Material: Tb5PmY6
Method: DFT, PBE-GGA
State: relaxed

The space group is C2/m (No. 12) and the conventional cell measures 6.193, 10.716 and 11.828 Å, with angles of 90.00, 99.98 and 90.00 degrees. The asymmetric unit holds Tb at (0.000, 0.000, 0.000), Tb at (0.000, 0.167, 0.500), Tb at (0.000, 0.333, 0.000), Pm at (0.000, 0.500, 0.500), Y at (0.250, 0.000, 0.751) and Y at (0.250, 0.167, 0.249).

As for the crystal system: monoclinic. The energy above the lowest structure with this stoichiometry is 0.00 kJ/mol of atoms. The value obtained for the theoretical density is 6.33 g cm⁻³.

Entry 4:
Material: Be2Co2Pb
Method: DFT, PBE-GGA
State: relaxed

The space group is P4/mbm (No. 127) and the conventional cell measures 6.577, 6.577 and 2.956 Å, with angles of 90.00, 90.00 and 90.00 degrees. The asymmetric unit holds Be at (0.124, 0.376, 0.000), Co at (0.143, 0.643, 0.500) and Pb at (0.000, 0.000, 0.500).

As for the crystal system: tetragonal. The energy above the lowest structure with this stoichiometry is 5.56 kJ/mol of atoms. The value obtained for the theoretical density is 8.91 g cm⁻³.

Number 1: formation energy from the elements 2.4 eV per formula unit. Number 2: formation energy from the elements -2.3 eV per formula unit. Number 3: formation energy from the elements 0.2 eV per formula unit. Number 4: formation energy from the elements 1.4 eV per formula unit.